Below is a PBEsol-optimized structure of NbTc2BiRh, with properties calculated at the SCAN level.

Values from the calculation:
The total energy is -41.254 eV/atom.

The structure in CIF format:
```
data_NbTc2BiRh
_chemical_formula_sum 'Nb1 Tc2 Bi1 Rh1'
_symmetry_space_group_name_H-M 'P 4/m m m'
_symmetry_Int_Tables_number 123
_symmetry_space_group_name_Hall '-P 4 2'
_cell_length_a 4.5843
_cell_length_b 4.5843
_cell_length_c 5.2449
_cell_angle_alpha 90.00
_cell_angle_beta 90.00
_cell_angle_gamma 90.00
loop_
_atom_site_label
_atom_site_type_symbol
_atom_site_fract_x
_atom_site_fract_y
_atom_site_fract_z
Nb1 Nb 0.0000 0.0000 0.0000
Tc1 Tc 0.0000 0.5000 0.0000
Bi1 Bi 0.0000 0.0000 0.5000
Rh1 Rh 0.5000 0.5000 0.5000
```

Below is a PBEsol-optimized structure of YMgAu2, with properties calculated at the SCAN level.

Values from the calculation:
The total energy is -43.694 eV/atom.

The structure in CIF format:
```
data_YMgAu2
_chemical_formula_sum 'Y2 Mg2 Au4'
_symmetry_space_group_name_H-M 'A m m 2'
_symmetry_Int_Tables_number 38
_symmetry_space_group_name_Hall 'A 2 -2'
_cell_length_a 4.4065
_cell_length_b 3.6725
_cell_length_c 10.5097
_cell_angle_alpha 90.00
_cell_angle_beta 90.00
_cell_angle_gamma 90.00
loop_
_atom_site_label
_atom_site_type_symbol
_atom_site_fract_x
_atom_site_fract_y
_atom_site_fract_z
Y1 Y 0.0000 0.0000 0.0000
Mg1 Mg 0.5000 0.0000 0.2852
Au1 Au 0.0000 0.0000 0.7281
Au2 Au 0.5000 0.0000 0.5577
```

Below is a PBEsol-optimized structure of Ba2PtI, with properties calculated at the SCAN level.

Values from the calculation:
Its uncorrected formation energy is -22.9 kcal/mol of atoms. The total energy is -47.501 eV/atom.

The structure in CIF format:
```
data_Ba2PtI
_chemical_formula_sum 'Ba8 Pt4 I4'
_symmetry_space_group_name_H-M 'F m -3 m'
_symmetry_Int_Tables_number 225
_symmetry_space_group_name_Hall '-F 4 2 3'
_cell_length_a 8.0212
_cell_length_b 8.0212
_cell_length_c 8.0212
_cell_angle_alpha 90.00
_cell_angle_beta 90.00
_cell_angle_gamma 90.00
loop_
_atom_site_label
_atom_site_type_symbol
_atom_site_fract_x
_atom_site_fract_y
_atom_site_fract_z
Ba1 Ba 0.2500 0.2500 0.2500
Pt1 Pt 0.0000 0.0000 0.0000
I1 I 0.0000 0.0000 0.5000
```

Below is a PBEsol-optimized structure of ZnAgHg2C, with properties calculated at the SCAN level.

Values from the calculation:
The total energy is -37.462 eV/atom.

The structure in CIF format:
```
data_ZnAgHg2C
_chemical_formula_sum 'Zn1 Ag1 Hg2 C1'
_symmetry_space_group_name_H-M 'P 4/m m m'
_symmetry_Int_Tables_number 123
_symmetry_space_group_name_Hall '-P 4 2'
_cell_length_a 4.8811
_cell_length_b 4.8811
_cell_length_c 3.7530
_cell_angle_alpha 90.00
_cell_angle_beta 90.00
_cell_angle_gamma 90.00
loop_
_atom_site_label
_atom_site_type_symbol
_atom_site_fract_x
_atom_site_fract_y
_atom_site_fract_z
Zn1 Zn 0.0000 0.0000 0.0000
Ag1 Ag 0.5000 0.5000 0.0000
Hg1 Hg 0.0000 0.5000 0.5000
C1 C 0.0000 0.0000 0.5000
```

Below is a PBEsol-optimized structure of CdPbBr2, with properties calculated at the SCAN level.

Values from the calculation:
Its uncorrected formation energy is -5.3 kcal/mol of atoms. The calculation puts the polymorph energy (0 for the lowest one) at 213.1 meV per atom. The total energy is -36.510 eV/atom.

The structure in CIF format:
```
data_CdPbBr2
_chemical_formula_sum 'Cd4 Pb4 Br8'
_symmetry_space_group_name_H-M 'F -4 3 m'
_symmetry_Int_Tables_number 216
_symmetry_space_group_name_Hall 'F -4 2 3'
_cell_length_a 7.5400
_cell_length_b 7.5400
_cell_length_c 7.5400
_cell_angle_alpha 90.00
_cell_angle_beta 90.00
_cell_angle_gamma 90.00
loop_
_atom_site_label
_atom_site_type_symbol
_atom_site_fract_x
_atom_site_fract_y
_atom_site_fract_z
Cd1 Cd 0.0000 0.0000 0.0000
Pb1 Pb 0.2500 0.2500 0.7500
Br1 Br 0.0000 0.0000 0.5000
Br2 Br 0.2500 0.2500 0.2500
```

Below is a PBEsol-optimized structure of La2ZnIn, with properties calculated at the SCAN level.

Values from the calculation:
The total energy is -33.762 eV/atom.

The structure in CIF format:
```
data_La2ZnIn
_chemical_formula_sum 'La4 Zn2 In2'
_symmetry_space_group_name_H-M 'I m m 2'
_symmetry_Int_Tables_number 44
_symmetry_space_group_name_Hall 'I 2 -2'
_cell_length_a 3.7503
_cell_length_b 5.2674
_cell_length_c 10.6541
_cell_angle_alpha 90.00
_cell_angle_beta 90.00
_cell_angle_gamma 90.00
loop_
_atom_site_label
_atom_site_type_symbol
_atom_site_fract_x
_atom_site_fract_y
_atom_site_fract_z
La1 La 0.0000 0.0000 0.0000
La2 La 0.0000 0.5000 0.2194
Zn1 Zn 0.0000 0.5000 0.7485
In1 In 0.0000 0.0000 0.4365
```

Below is a PBEsol-optimized structure of CaCrCd2, with properties calculated at the SCAN level.

Values from the calculation:
The total energy is -22.304 eV/atom.

The structure in CIF format:
```
data_CaCrCd2
_chemical_formula_sum 'Ca1 Cr1 Cd2'
_symmetry_space_group_name_H-M 'P 4/m m m'
_symmetry_Int_Tables_number 123
_symmetry_space_group_name_Hall '-P 4 2'
_cell_length_a 3.4868
_cell_length_b 3.4868
_cell_length_c 7.0936
_cell_angle_alpha 90.00
_cell_angle_beta 90.00
_cell_angle_gamma 90.00
loop_
_atom_site_label
_atom_site_type_symbol
_atom_site_fract_x
_atom_site_fract_y
_atom_site_fract_z
Ca1 Ca 0.0000 0.0000 0.0000
Cr1 Cr 0.0000 0.0000 0.5000
Cd1 Cd 0.5000 0.5000 0.2917
```

Below is a PBEsol-optimized structure of NiOsC2, with properties calculated at the SCAN level.

Values from the calculation:
The total energy is -25.503 eV/atom.

The structure in CIF format:
```
data_NiOsC2
_chemical_formula_sum 'Ni4 Os4 C8'
_symmetry_space_group_name_H-M 'F m -3 m'
_symmetry_Int_Tables_number 225
_symmetry_space_group_name_Hall '-F 4 2 3'
_cell_length_a 5.2001
_cell_length_b 5.2001
_cell_length_c 5.2001
_cell_angle_alpha 90.00
_cell_angle_beta 90.00
_cell_angle_gamma 90.00
loop_
_atom_site_label
_atom_site_type_symbol
_atom_site_fract_x
_atom_site_fract_y
_atom_site_fract_z
Ni1 Ni 0.0000 0.0000 0.0000
Os1 Os 0.0000 0.0000 0.5000
C1 C 0.2500 0.2500 0.2500
```

Below is a PBEsol-optimized structure of Mn2BePt, with properties calculated at the SCAN level.

Values from the calculation:
The total energy is -27.883 eV/atom.

The structure in CIF format:
```
data_Mn2BePt
_chemical_formula_sum 'Mn6 Be3 Pt3'
_symmetry_space_group_name_H-M 'R 3 m'
_symmetry_Int_Tables_number 160
_symmetry_space_group_name_Hall 'R 3 -2"'
_cell_length_a 2.5846
_cell_length_b 2.5846
_cell_length_c 23.4525
_cell_angle_alpha 90.00
_cell_angle_beta 90.00
_cell_angle_gamma 120.00
loop_
_atom_site_label
_atom_site_type_symbol
_atom_site_fract_x
_atom_site_fract_y
_atom_site_fract_z
Mn1 Mn 0.0000 0.0000 0.0000
Mn2 Mn 0.0000 0.0000 0.2572
Be1 Be 0.0000 0.0000 0.5107
Pt1 Pt 0.0000 0.0000 0.7632
```

Below is a PBEsol-optimized structure of Zn2HgW, with properties calculated at the SCAN level.

Values from the calculation:
The total energy is -40.767 eV/atom.

The structure in CIF format:
```
data_Zn2HgW
_chemical_formula_sum 'Zn4 Hg2 W2'
_symmetry_space_group_name_H-M 'A m m 2'
_symmetry_Int_Tables_number 38
_symmetry_space_group_name_Hall 'A 2 -2'
_cell_length_a 4.2872
_cell_length_b 2.7835
_cell_length_c 10.5244
_cell_angle_alpha 90.00
_cell_angle_beta 90.00
_cell_angle_gamma 90.00
loop_
_atom_site_label
_atom_site_type_symbol
_atom_site_fract_x
_atom_site_fract_y
_atom_site_fract_z
Zn1 Zn 0.0000 0.0000 0.0000
Zn2 Zn 0.5000 0.0000 0.1354
Hg1 Hg 0.0000 0.0000 0.7521
W1 W 0.5000 0.0000 0.4043
```

Below is a PBEsol-optimized structure of KCoP, with properties calculated at the SCAN level.

Values from the calculation:
The total energy is -12.013 eV/atom.

The structure in CIF format:
```
data_KCoP
_chemical_formula_sum 'K2 Co2 P2'
_symmetry_space_group_name_H-M 'I 4 m m'
_symmetry_Int_Tables_number 107
_symmetry_space_group_name_Hall 'I 4 -2'
_cell_length_a 2.9801
_cell_length_b 2.9801
_cell_length_c 11.7653
_cell_angle_alpha 90.00
_cell_angle_beta 90.00
_cell_angle_gamma 90.00
loop_
_atom_site_label
_atom_site_type_symbol
_atom_site_fract_x
_atom_site_fract_y
_atom_site_fract_z
K1 K 0.0000 0.0000 0.0000
Co1 Co 0.0000 0.0000 0.2782
P1 P 0.0000 0.0000 0.7115
```

Below is a PBEsol-optimized structure of FeReMo, with properties calculated at the SCAN level.

Values from the calculation:
The calculation puts the polymorph energy (0 for the lowest one) at 192.9 meV per atom. The total energy is -41.194 eV/atom.

The structure in CIF format:
```
data_FeReMo
_chemical_formula_sum 'Fe2 Re2 Mo2'
_symmetry_space_group_name_H-M 'I 4 m m'
_symmetry_Int_Tables_number 107
_symmetry_space_group_name_Hall 'I 4 -2'
_cell_length_a 2.6429
_cell_length_b 2.6429
_cell_length_c 11.4602
_cell_angle_alpha 90.00
_cell_angle_beta 90.00
_cell_angle_gamma 90.00
loop_
_atom_site_label
_atom_site_type_symbol
_atom_site_fract_x
_atom_site_fract_y
_atom_site_fract_z
Fe1 Fe 0.0000 0.0000 0.0000
Re1 Re 0.0000 0.0000 0.3565
Mo1 Mo 0.0000 0.0000 0.6634
```

Below is a PBEsol-optimized structure of MnTeCN2, with properties calculated at the SCAN level.

Values from the calculation:
Its uncorrected formation energy is 49.4 kcal/mol of atoms. The calculation puts the polymorph energy (0 for the lowest one) at 804.2 meV per atom. The total energy is -14.697 eV/atom.

The structure in CIF format:
```
data_MnTeCN2
_chemical_formula_sum 'Mn1 Te1 C1 N2'
_symmetry_space_group_name_H-M 'P 4/m m m'
_symmetry_Int_Tables_number 123
_symmetry_space_group_name_Hall '-P 4 2'
_cell_length_a 3.6657
_cell_length_b 3.6657
_cell_length_c 4.3998
_cell_angle_alpha 90.00
_cell_angle_beta 90.00
_cell_angle_gamma 90.00
loop_
_atom_site_label
_atom_site_type_symbol
_atom_site_fract_x
_atom_site_fract_y
_atom_site_fract_z
Mn1 Mn 0.0000 0.0000 0.0000
Te1 Te 0.5000 0.5000 0.0000
C1 C 0.5000 0.5000 0.5000
N1 N 0.0000 0.5000 0.5000
```

Below is a PBEsol-optimized structure of AgPbCl2, with properties calculated at the SCAN level.

Values from the calculation:
Its uncorrected formation energy is -12.7 kcal/mol of atoms. The total energy is -31.325 eV/atom.

The structure in CIF format:
```
data_AgPbCl2
_chemical_formula_sum 'Ag3 Pb3 Cl6'
_symmetry_space_group_name_H-M 'R 3 m'
_symmetry_Int_Tables_number 160
_symmetry_space_group_name_Hall 'R 3 -2"'
_cell_length_a 3.9377
_cell_length_b 3.9377
_cell_length_c 22.9075
_cell_angle_alpha 90.00
_cell_angle_beta 90.00
_cell_angle_gamma 120.00
loop_
_atom_site_label
_atom_site_type_symbol
_atom_site_fract_x
_atom_site_fract_y
_atom_site_fract_z
Ag1 Ag 0.0000 0.0000 0.0000
Pb1 Pb 0.0000 0.0000 0.2533
Cl1 Cl 0.0000 0.0000 0.5084
Cl2 Cl 0.0000 0.0000 0.7160
```

Below is a PBEsol-optimized structure of Ba2HgRh, with properties calculated at the SCAN level.

Values from the calculation:
The total energy is -45.642 eV/atom.

The structure in CIF format:
```
data_Ba2HgRh
_chemical_formula_sum 'Ba4 Hg2 Rh2'
_symmetry_space_group_name_H-M 'A m m 2'
_symmetry_Int_Tables_number 38
_symmetry_space_group_name_Hall 'A 2 -2'
_cell_length_a 4.6164
_cell_length_b 4.5912
_cell_length_c 11.9233
_cell_angle_alpha 90.00
_cell_angle_beta 90.00
_cell_angle_gamma 90.00
loop_
_atom_site_label
_atom_site_type_symbol
_atom_site_fract_x
_atom_site_fract_y
_atom_site_fract_z
Ba1 Ba 0.0000 0.0000 0.0000
Ba2 Ba 0.5000 0.0000 0.2823
Hg1 Hg 0.0000 0.0000 0.7051
Rh1 Rh 0.5000 0.0000 0.5747
```

Below is a PBEsol-optimized structure of LaAl2Ag, with properties calculated at the SCAN level.

Values from the calculation:
The calculation puts the polymorph energy (0 for the lowest one) at 173.6 meV per atom. The total energy is -22.761 eV/atom.

The structure in CIF format:
```
data_LaAl2Ag
_chemical_formula_sum 'La1 Al2 Ag1'
_symmetry_space_group_name_H-M 'P m m m'
_symmetry_Int_Tables_number 47
_symmetry_space_group_name_Hall '-P 2 2'
_cell_length_a 3.0715
_cell_length_b 3.5444
_cell_length_c 7.5134
_cell_angle_alpha 90.00
_cell_angle_beta 90.00
_cell_angle_gamma 90.00
loop_
_atom_site_label
_atom_site_type_symbol
_atom_site_fract_x
_atom_site_fract_y
_atom_site_fract_z
La1 La 0.0000 0.0000 0.0000
Al1 Al 0.5000 0.5000 0.3028
Ag1 Ag 0.0000 0.0000 0.5000
```

Below is a PBEsol-optimized structure of Na2H18SO9, with properties calculated at the SCAN level.

Values from the calculation:
The total energy is -5.637 eV/atom.

The structure in CIF format:
```
data_Na2H18SO9
_chemical_formula_sum 'Na8 H72 S4 O36'
_symmetry_space_group_name_H-M 'P 43 2 2'
_symmetry_Int_Tables_number 95
_symmetry_space_group_name_Hall 'P 4cw 2c'
_cell_length_a 9.1420
_cell_length_b 9.1420
_cell_length_c 12.4265
_cell_angle_alpha 90.00
_cell_angle_beta 90.00
_cell_angle_gamma 90.00
loop_
_atom_site_label
_atom_site_type_symbol
_atom_site_fract_x
_atom_site_fract_y
_atom_site_fract_z
Na1 Na 0.0000 0.1389 0.0000
Na2 Na 0.3119 0.5000 0.7500
H1 H 0.0253 0.4717 0.6530
H2 H 0.0296 0.2833 0.2164
H3 H 0.1256 0.2042 0.7893
H4 H 0.1379 0.4454 0.9282
H5 H 0.1801 0.3509 0.5306
H6 H 0.1839 0.3811 0.0910
H7 H 0.2067 0.3548 0.4037
H8 H 0.2853 0.2882 0.0114
H9 H 0.3961 0.4947 0.1628
S1 S 0.1816 0.5000 0.2500
O1 O 0.0175 0.1900 0.8030
O2 O 0.1247 0.4667 0.6206
O3 O 0.1843 0.3299 0.0198
O4 O 0.2332 0.2997 0.4697
O5 O 0.4923 0.4923 0.1250
```

Below is a PBEsol-optimized structure of LiIn3Pb, with properties calculated at the SCAN level.

Values from the calculation:
The total energy is -35.194 eV/atom.

The structure in CIF format:
```
data_LiIn3Pb
_chemical_formula_sum 'Li1 In3 Pb1'
_symmetry_space_group_name_H-M 'P m -3 m'
_symmetry_Int_Tables_number 221
_symmetry_space_group_name_Hall '-P 4 2 3'
_cell_length_a 5.7637
_cell_length_b 5.7637
_cell_length_c 5.7637
_cell_angle_alpha 90.00
_cell_angle_beta 90.00
_cell_angle_gamma 90.00
loop_
_atom_site_label
_atom_site_type_symbol
_atom_site_fract_x
_atom_site_fract_y
_atom_site_fract_z
Li1 Li 0.0000 0.0000 0.0000
In1 In 0.0000 0.5000 0.5000
Pb1 Pb 0.5000 0.5000 0.5000
```

Below is a PBEsol-optimized structure of CoRh4, with properties calculated at the SCAN level.

Values from the calculation:
The calculation puts the polymorph energy (0 for the lowest one) at 10.4 meV per atom. The total energy is -30.440 eV/atom.

The structure in CIF format:
```
data_CoRh4
_chemical_formula_sum 'Co3 Rh12'
_symmetry_space_group_name_H-M 'R -3 m'
_symmetry_Int_Tables_number 166
_symmetry_space_group_name_Hall '-R 3 2"'
_cell_length_a 2.6457
_cell_length_b 2.6457
_cell_length_c 31.9466
_cell_angle_alpha 90.00
_cell_angle_beta 90.00
_cell_angle_gamma 120.00
loop_
_atom_site_label
_atom_site_type_symbol
_atom_site_fract_x
_atom_site_fract_y
_atom_site_fract_z
Co1 Co 0.0000 0.0000 0.0000
Rh1 Rh 0.0000 0.0000 0.2007
Rh2 Rh 0.0000 0.0000 0.3969
```

Below is a PBEsol-optimized structure of LiTeN2, with properties calculated at the SCAN level.

Values from the calculation:
Its uncorrected formation energy is 24.2 kcal/mol of atoms. The total energy is -13.506 eV/atom.

The structure in CIF format:
```
data_LiTeN2
_chemical_formula_sum 'Li3 Te3 N6'
_symmetry_space_group_name_H-M 'R -3 m'
_symmetry_Int_Tables_number 166
_symmetry_space_group_name_Hall '-R 3 2"'
_cell_length_a 3.4703
_cell_length_b 3.4703
_cell_length_c 16.2718
_cell_angle_alpha 90.00
_cell_angle_beta 90.00
_cell_angle_gamma 120.00
loop_
_atom_site_label
_atom_site_type_symbol
_atom_site_fract_x
_atom_site_fract_y
_atom_site_fract_z
Li1 Li 0.0000 0.0000 0.0000
Te1 Te 0.0000 0.0000 0.5000
N1 N 0.0000 0.0000 0.3801
```